1.
! Mg3ReRh, relaxed, DFT PBEsol; values from VASP
! Total energy ... -3.74 eV per atom
! Symmetry ... No. 221
! Total magnetization ... 1.222 μB/cell
! Formation energy ... 1.58 eV per atom
&SYSTEM
  ibrav = 0, nat = 5, ntyp = 3
/
ATOMIC_SPECIES
Mg 24.30 Mg.upf
Rh 102.91 Rh.upf
Re 186.21 Re.upf
ATOMIC_POSITIONS crystal
Mg 0.500 0.000 0.000
Mg 0.000 0.000 0.500
Mg 0.000 0.500 0.000
Rh 0.500 0.500 0.500
Re 0.000 0.000 0.000
CELL_PARAMETERS angstrom
-0.178 3.079 -3.780
-0.060 -3.783 -3.079
-4.875 -0.066 0.176


2.
! Ca2SiI2, relaxed, DFT PBEsol; values from VASP
! Total energy ... -3.18 eV per atom
! Symmetry ... No. 139
! Total magnetization ... 0.000 μB/cell
! Energy relative to the elements, uncorrected ... -474.6 meV/atom
&SYSTEM
  ibrav = 0, nat = 5, ntyp = 3
/
ATOMIC_SPECIES
Ca 40.08 Ca.upf
Si 28.09 Si.upf
I 126.90 I.upf
ATOMIC_POSITIONS crystal
Ca 0.250 0.500 0.750
Ca 0.750 0.500 0.250
Si 0.000 0.000 0.000
I 0.679 0.359 0.679
I 0.321 0.641 0.321
CELL_PARAMETERS angstrom
5.929 0.000 0.000
-2.965 5.482 0.000
0.000 -3.207 4.987


3.
! HPdCl2, relaxed, DFT PBEsol; values from VASP
! Total energy ... -3.07 eV per atom
! Symmetry ... No. 166
! Total magnetization ... 0.001 μB/cell
! ΔE to the lowest computed polymorph ... 0.000 eV per atom
&SYSTEM
  ibrav = 0, nat = 4, ntyp = 3
/
ATOMIC_SPECIES
Cl 35.45 Cl.upf
Pd 106.42 Pd.upf
H 1.01 H.upf
ATOMIC_POSITIONS crystal
Cl 0.108 0.108 0.677
Cl 0.892 0.892 0.323
Pd 0.000 0.000 0.000
H 0.500 0.500 0.500
CELL_PARAMETERS angstrom
-1.573 -2.660 -0.373
0.310 -1.636 -2.630
4.841 -4.937 1.800


4.
! LiScB2, relaxed, DFT PBEsol; values from VASP
! Total energy ... -5.46 eV per atom
! Symmetry ... No. 141
! Total magnetization ... 0.000 μB/cell
! Formation energy ... 0.20 eV per atom
&SYSTEM
  ibrav = 0, nat = 8, ntyp = 3
/
ATOMIC_SPECIES
B 10.81 B.upf
Sc 44.96 Sc.upf
Li 6.94 Li.upf
ATOMIC_POSITIONS crystal
B 0.625 0.875 0.250
B 0.625 0.375 0.750
B 0.125 0.375 0.750
B 0.625 0.375 0.250
Sc 0.000 0.000 0.000
Sc 0.250 0.750 0.500
Li 0.750 0.250 0.500
Li 0.500 0.500 0.000
CELL_PARAMETERS angstrom
-1.025 -0.406 -3.323
0.395 -3.466 0.302
-6.430 1.354 3.662


5.
! SrLiReP2, relaxed, DFT PBEsol; values from VASP
! Total energy ... -5.47 eV per atom
! Symmetry ... No. 123
! Total magnetization ... 0.001 μB/cell
! Formation energy ... 0.28 eV per atom
&SYSTEM
  ibrav = 0, nat = 5, ntyp = 4
/
ATOMIC_SPECIES
Re 186.21 Re.upf
Sr 87.62 Sr.upf
P 30.97 P.upf
Li 6.94 Li.upf
ATOMIC_POSITIONS crystal
Re 0.000 0.000 0.000
Sr 0.000 0.000 0.500
P 0.000 0.500 0.000
P 0.500 0.000 0.000
Li 0.500 0.500 0.500
CELL_PARAMETERS angstrom
4.619 0.000 0.000
0.000 4.619 0.000
0.000 0.000 5.740


6.
! BaLi2Al2, relaxed, DFT PBEsol; values from VASP
! Total energy ... -2.80 eV per atom
! Symmetry ... No. 127
! Total magnetization ... 0.001 μB/cell
! ΔE to the lowest computed polymorph ... 0.115 eV per atom
! Formation energy ... 0.05 eV per atom
&SYSTEM
  ibrav = 0, nat = 10, ntyp = 3
/
ATOMIC_SPECIES
Li 6.94 Li.upf
Al 26.98 Al.upf
Ba 137.33 Ba.upf
ATOMIC_POSITIONS crystal
Li 0.500 0.825 0.325
Li 0.500 0.325 0.175
Li 0.500 0.675 0.825
Li 0.500 0.175 0.675
Al 0.000 0.888 0.612
Al 0.000 0.612 0.112
Al 0.000 0.388 0.888
Al 0.000 0.112 0.388
Ba 0.000 0.000 0.000
Ba 0.000 0.500 0.500
CELL_PARAMETERS angstrom
-0.735 -2.986 0.543
6.978 -2.483 -4.211
4.459 0.222 7.257